A relaxed BaW4Br crystal. Source: Alexandria via LeMat-Bulk, functional PBE-GGA.

a = 5.6689 Å, b = 5.6689 Å, c = 5.6689 Å
α = 60.00°, β = 60.00°, γ = 60.00°
With the nearest neighbours (Å) after each atom.
Element x y z (fractional)
Ba: 0.0000 0.0000 0.0000  12 W 3.31, 4 Br 3.47
W: 0.3690 0.3690 0.3690  6 W 2.70-2.97
W: 0.3690 0.3690 0.8931  6 W 2.70-2.97
W: 0.3690 0.8931 0.3690  6 W 2.70-2.97
W: 0.8931 0.3690 0.3690  6 W 2.70-2.97
Br: 0.7500 0.7500 0.7500  12 W 3.34, 4 Ba 3.47

Results
N(E_F): 6.27 states/eV/f.u.
Formation energy without anion corrections: 1.342 eV/atom
Space group: F-43m, No. 216

A relaxed Ba2WBr crystal. Source: Alexandria via LeMat-Bulk, functional PBE-GGA.

a = 4.3030 Å, b = 4.3030 Å, c = 27.8346 Å
α = 90.00°, β = 90.00°, γ = 120.00°
With the nearest neighbours (Å) after each atom.
Element x y z (fractional)
Ba: 0.0000 0.0000 0.2458  3 W 3.32, 3 Br 3.48
Ba: 0.0000 0.0000 0.7542  3 W 3.32, 3 Br 3.48
Ba: 0.3333 0.6667 0.4209  3 W 3.32, 3 Br 3.48
Ba: 0.3333 0.6667 0.9125  3 W 3.32, 3 Br 3.48
Ba: 0.6667 0.3333 0.0875  3 W 3.32, 3 Br 3.48
Ba: 0.6667 0.3333 0.5791  3 W 3.32, 3 Br 3.48
W: 0.0000 0.0000 0.5000  6 Ba 3.32
W: 0.3333 0.6667 0.1667  6 Ba 3.32
W: 0.6667 0.3333 0.8333  6 Ba 3.32
Br: 0.0000 0.0000 0.0000  6 Ba 3.48
Br: 0.3333 0.6667 0.6667  6 Ba 3.48
Br: 0.6667 0.3333 0.3333  6 Ba 3.48

Results
N(E_F): 2.19 states/eV/f.u.
Formation energy without anion corrections: 0.319 eV/atom
Space group: R-3m, No. 166

A relaxed Ba2WBr crystal. Source: Alexandria via LeMat-Bulk, functional PBE-GGA.

a = 5.6458 Å, b = 3.8084 Å, c = 12.5657 Å
α = 90.00°, β = 90.00°, γ = 90.00°
With the nearest neighbours (Å) after each atom.
Element x y z (fractional)
Ba: 0.0000 0.0000 0.0000  3 W 3.23-3.60, 4 Br 3.42
Ba: 0.0000 0.5000 0.5000  3 W 3.23-3.60, 4 Br 3.42
Ba: 0.5000 0.0000 0.2598  3 Br 3.30-3.54, 4 W 3.41
Ba: 0.5000 0.5000 0.7598  3 Br 3.30-3.54, 4 W 3.41
W: 0.0000 0.0000 0.7432  7 Ba 3.23-3.60
W: 0.0000 0.5000 0.2432  7 Ba 3.23-3.60
Br: 0.5000 0.0000 0.5222  7 Ba 3.30-3.54
Br: 0.5000 0.5000 0.0222  7 Ba 3.30-3.54

Results
N(E_F): 4.74 states/eV/f.u.
Formation energy without anion corrections: 0.350 eV/atom
Space group: Amm2, No. 38

A relaxed Ba2WBr crystal. Source: Alexandria via LeMat-Bulk, functional PBE-GGA.

a = 3.8879 Å, b = 4.0372 Å, c = 18.5523 Å
α = 90.00°, β = 90.00°, γ = 90.00°
With the nearest neighbours (Å) after each atom.
Element x y z (fractional)
Ba: 0.0000 0.0000 0.0000  4 W 3.36, 2 Br 3.54
Ba: 0.0000 0.5000 0.2667  2 W 3.19, 4 Br 3.44
Ba: 0.5000 0.0000 0.7667  2 W 3.19, 4 Br 3.44
Ba: 0.5000 0.5000 0.5000  4 W 3.36, 2 Br 3.54
W: 0.0000 0.0000 0.4001  6 Ba 3.19-3.36
W: 0.5000 0.5000 0.9001  6 Ba 3.19-3.36
Br: 0.0000 0.5000 0.6595  6 Ba 3.44-3.54
Br: 0.5000 0.0000 0.1595  6 Ba 3.44-3.54

Results
N(E_F): 3.10 states/eV/f.u.
Formation energy without anion corrections: 0.350 eV/atom
Space group: Imm2, No. 44

A relaxed BaW2Br crystal. Source: Alexandria via LeMat-Bulk, functional PBE-GGA.

a = 3.3491 Å, b = 3.4850 Å, c = 16.9123 Å
α = 90.00°, β = 90.00°, γ = 90.00°
With the nearest neighbours (Å) after each atom.
Element x y z (fractional)
Ba: 0.0000 0.0000 0.0000  4 Ba 3.35-3.48, 4 Br 3.41, 5 W 3.56-3.69
Ba: 0.0000 0.5000 0.5000  4 Ba 3.35-3.48, 4 Br 3.41, 5 W 3.56-3.69
W: 0.0000 0.0000 0.2180  4 W 2.64, 2 Br 2.90
W: 0.0000 0.5000 0.7180  4 W 2.64, 2 Br 2.90
W: 0.5000 0.0000 0.6550  4 W 2.64
W: 0.5000 0.5000 0.1550  4 W 2.64
Br: 0.5000 0.0000 0.3578  2 W 2.90
Br: 0.5000 0.5000 0.8578  2 W 2.90

Results
N(E_F): 2.95 states/eV/f.u.
Formation energy without anion corrections: 0.310 eV/atom
Space group: Amm2, No. 38

A relaxed BaW3Br crystal. Source: Alexandria via LeMat-Bulk, functional PBE-GGA.

a = 4.8417 Å, b = 4.8417 Å, c = 4.8417 Å
α = 90.00°, β = 90.00°, γ = 90.00°
With the nearest neighbours (Å) after each atom.
Element x y z (fractional)
Ba: 0.0000 0.0000 0.0000  12 W 3.42
W: 0.0000 0.5000 0.5000  2 Br 2.42
W: 0.5000 0.0000 0.5000  2 Br 2.42
W: 0.5000 0.5000 0.0000  2 Br 2.42
Br: 0.5000 0.5000 0.5000  6 W 2.42

Results
N(E_F): 7.01 states/eV/f.u.
Formation energy without anion corrections: 2.178 eV/atom
Space group: Pm-3m, No. 221

A relaxed BaW2Br crystal. Source: Alexandria via LeMat-Bulk, functional PBE-GGA.

a = 5.0324 Å, b = 5.0324 Å, c = 7.1001 Å
α = 90.00°, β = 90.00°, γ = 90.00°
With the nearest neighbours (Å) after each atom.
Element x y z (fractional)
Ba: 0.0000 0.0000 0.0000  4 W 3.08, 4 Br 3.08
Ba: 0.5000 0.5000 0.5000  4 W 3.08, 4 Br 3.08
W: 0.0000 0.0000 0.5000  4 W 3.08, 4 Br 3.08
W: 0.0000 0.5000 0.7500  4 Ba 3.08, 4 W 3.08
W: 0.5000 0.0000 0.2500  4 Ba 3.08, 4 W 3.08
W: 0.5000 0.5000 0.0000  4 W 3.08, 4 Br 3.08
Br: 0.0000 0.5000 0.2500  4 Ba 3.08, 4 W 3.08
Br: 0.5000 0.0000 0.7500  4 Ba 3.08, 4 W 3.08

Results
N(E_F): 3.40 states/eV/f.u.
Formation energy without anion corrections: 1.427 eV/atom
Space group: I-4m2, No. 119

A relaxed BaW2Br crystal. Source: Alexandria via LeMat-Bulk, functional PBE-GGA.

a = 3.4295 Å, b = 3.4295 Å, c = 8.8119 Å
α = 90.00°, β = 90.00°, γ = 90.00°
With the nearest neighbours (Å) after each atom.
Element x y z (fractional)
Ba: 0.0000 0.0000 0.0000  4 Br 3.28, 4 Ba 3.43, 4 W 3.63
W: 0.0000 0.0000 0.5791  4 W 2.62
W: 0.5000 0.5000 0.6928  4 W 2.62
Br: 0.5000 0.5000 0.2509  4 Ba 3.28, 4 Br 3.43

Results
N(E_F): 3.02 states/eV/f.u.
Formation energy without anion corrections: 0.392 eV/atom
Space group: P4mm, No. 99

A relaxed Ba2WBr crystal. Source: Alexandria via LeMat-Bulk, functional PBE-GGA.

a = 8.0689 Å, b = 8.0689 Å, c = 8.0689 Å
α = 90.00°, β = 90.00°, γ = 90.00°
With the nearest neighbours (Å) after each atom.
Element x y z (fractional)
Ba: 0.0000 0.0000 0.0000  4 Ba 3.49, 4 W 3.49
Ba: 0.0000 0.5000 0.5000  4 Ba 3.49, 4 W 3.49
Ba: 0.2500 0.2500 0.2500  4 Ba 3.49, 4 Br 3.49
Ba: 0.2500 0.7500 0.7500  4 Ba 3.49, 4 Br 3.49
Ba: 0.5000 0.0000 0.5000  4 Ba 3.49, 4 W 3.49
Ba: 0.5000 0.5000 0.0000  4 Ba 3.49, 4 W 3.49
Ba: 0.7500 0.2500 0.7500  4 Ba 3.49, 4 Br 3.49
Ba: 0.7500 0.7500 0.2500  4 Ba 3.49, 4 Br 3.49
W: 0.2500 0.2500 0.7500  4 Ba 3.49, 4 Br 3.49
W: 0.2500 0.7500 0.2500  4 Ba 3.49, 4 Br 3.49
W: 0.7500 0.2500 0.2500  4 Ba 3.49, 4 Br 3.49
W: 0.7500 0.7500 0.7500  4 Br 3.49, 4 Ba 3.49
Br: 0.0000 0.0000 0.5000  4 Ba 3.49, 4 W 3.49
Br: 0.0000 0.5000 0.0000  4 Ba 3.49, 4 W 3.49
Br: 0.5000 0.0000 0.0000  4 Ba 3.49, 4 W 3.49
Br: 0.5000 0.5000 0.5000  4 Ba 3.49, 4 W 3.49

Results
N(E_F): 3.66 states/eV/f.u.
Formation energy without anion corrections: 0.872 eV/atom
Space group: F-43m, No. 216

A relaxed BaW2Br crystal. Source: Alexandria via LeMat-Bulk, functional PBE-GGA.

a = 3.4663 Å, b = 6.2533 Å, c = 10.2590 Å
α = 90.00°, β = 90.00°, γ = 90.00°
With the nearest neighbours (Å) after each atom.
Element x y z (fractional)
Ba: 0.0000 0.0000 0.0000  4 Br 3.43-3.81, 2 Ba 3.47, 8 W 3.58-3.78
Ba: 0.5000 0.5000 0.5000  4 Br 3.43-3.81, 2 Ba 3.47, 8 W 3.58-3.78
W: 0.0000 0.0000 0.4921  2 W 2.42
W: 0.0000 0.5000 0.8279  2 W 2.42
W: 0.5000 0.0000 0.3279  2 W 2.42
W: 0.5000 0.5000 0.9921  2 W 2.42
Br: 0.0000 0.5000 0.2120  2 W 2.84
Br: 0.5000 0.0000 0.7120  2 W 2.84

Results
N(E_F): 2.03 states/eV/f.u.
Formation energy without anion corrections: 0.883 eV/atom
Space group: Imm2, No. 44

A relaxed Ba2WBr crystal. Source: Alexandria via LeMat-Bulk, functional PBE-GGA.

a = 4.7517 Å, b = 4.7517 Å, c = 13.3427 Å
α = 90.00°, β = 90.00°, γ = 90.00°
With the nearest neighbours (Å) after each atom.
Element x y z (fractional)
Ba: 0.0000 0.0000 0.0000  4 W 3.36
Ba: 0.0000 0.5000 0.2500  4 Br 3.36
Ba: 0.5000 0.0000 0.7500  4 Br 3.36
Ba: 0.5000 0.5000 0.5000  4 W 3.36
W: 0.0000 0.0000 0.5000  4 Ba 3.36
W: 0.5000 0.5000 0.0000  4 Ba 3.36
Br: 0.0000 0.5000 0.7500  4 Ba 3.36
Br: 0.5000 0.0000 0.2500  4 Ba 3.36

Results
N(E_F): 3.52 states/eV/f.u.
Formation energy without anion corrections: 0.581 eV/atom
Space group: I-4m2, No. 119

A relaxed Ba2WBr crystal. Source: Alexandria via LeMat-Bulk, functional PBE-GGA.

a = 5.4875 Å, b = 5.5100 Å, c = 8.9473 Å
α = 90.00°, β = 90.00°, γ = 90.00°
With the nearest neighbours (Å) after each atom.
Element x y z (fractional)
Ba: 0.0000 0.0000 0.2331  4 W 3.45-3.46, 4 Br 3.64-3.65
Ba: 0.0000 0.0000 0.7669  4 W 3.45-3.46, 4 Br 3.64-3.65
Ba: 0.5000 0.5000 0.2331  4 W 3.45-3.46, 4 Br 3.64-3.65
Ba: 0.5000 0.5000 0.7669  4 W 3.45-3.46, 4 Br 3.64-3.65
W: 0.0000 0.5000 0.0000  8 Ba 3.45-3.46
W: 0.5000 0.0000 0.0000  8 Ba 3.45-3.46
Br: 0.0000 0.5000 0.5000  8 Ba 3.64-3.65, 4 Br 3.89
Br: 0.5000 0.0000 0.5000  8 Ba 3.64-3.65, 4 Br 3.89

Results
N(E_F): 3.84 states/eV/f.u.
Formation energy without anion corrections: 0.252 eV/atom
Space group: Cmmm, No. 65

A relaxed BaW2Br crystal. Source: Alexandria via LeMat-Bulk, functional PBE-GGA.

a = 3.0455 Å, b = 3.0455 Å, c = 9.4213 Å
α = 90.00°, β = 90.00°, γ = 90.00°
With the nearest neighbours (Å) after each atom.
Element x y z (fractional)
Ba: 0.0000 0.0000 0.0000  4 Ba 3.05
W: 0.5000 0.5000 0.3061  4 Br 2.82, 4 W 3.05
W: 0.5000 0.5000 0.6939  4 Br 2.82, 4 W 3.05
Br: 0.0000 0.0000 0.5000  8 W 2.82, 4 Br 3.05

Results
N(E_F): 4.07 states/eV/f.u.
Formation energy without anion corrections: 1.684 eV/atom
Space group: P4/mmm, No. 123

A relaxed BaW2Br crystal. Source: Alexandria via LeMat-Bulk, functional PBE-GGA.

a = 4.1499 Å, b = 4.1499 Å, c = 24.6453 Å
α = 90.00°, β = 90.00°, γ = 90.00°
With the nearest neighbours (Å) after each atom.
Element x y z (fractional)
Ba: 0.0000 0.0000 0.0000  4 Br 2.93
Ba: 0.0000 0.5000 0.2500  4 Br 2.93
Ba: 0.5000 0.0000 0.7500  4 Br 2.93
Ba: 0.5000 0.5000 0.5000  4 Br 2.93
W: 0.1811 0.7500 0.6250  2 W 2.56
W: 0.2500 0.1811 0.3750  2 W 2.56
W: 0.2500 0.3189 0.8750  2 W 2.56
W: 0.3189 0.7500 0.1250  2 W 2.56
W: 0.6811 0.2500 0.1250  2 W 2.56
W: 0.7500 0.6811 0.8750  2 W 2.56
W: 0.7500 0.8189 0.3750  2 W 2.56
W: 0.8189 0.2500 0.6250  2 W 2.56
Br: 0.0000 0.0000 0.5000  4 Ba 2.93
Br: 0.0000 0.5000 0.7500  4 Ba 2.93
Br: 0.5000 0.0000 0.2500  4 Ba 2.93
Br: 0.5000 0.5000 0.0000  4 Ba 2.93

Results
N(E_F): 3.22 states/eV/f.u.
Formation energy without anion corrections: 1.127 eV/atom
Space group: I-42d, No. 122